{
  "formula": "La4Pr4Ho",
  "functional": "PBE",
  "state": "optimized geometry",
  "crystal_system": "monoclinic",
  "delta_e_f_mev_per_atom": 16,
  "dft_energy_ev_per_atom": -4.81,
  "total_magnetization_mub_per_atom": 0.00,
  "spacegroup": "C2/m (12)",
  "lattice_angstrom": [[0.399, -6.223, 1.522], [0.452, -5.269, -3.642], [10.695, -3.736, 4.764]],
  "species": ["La", "Pr", "Pr", "La", "La", "Pr", "Pr", "Ho", "La"],
  "frac_coords": [[0.727, 0.112, 0.443], [0.171, 0.333, 0.331], [0.940, 0.222, 0.891], [0.273, 0.888, 0.557], [0.382, 0.443, 0.781], [0.060, 0.778, 0.109], [0.829, 0.667, 0.669], [0.500, 0.000, 0.000], [0.618, 0.557, 0.219]]
}